! TcTe2IN (PBE, relaxed); values from VASP
&SYSTEM
  ibrav = 0, nat = 5, ntyp = 4
/
ATOMIC_SPECIES
Tc 98.00 Tc.upf
Te 127.60 Te.upf
I 126.90 I.upf
N 14.01 N.upf
CELL_PARAMETERS angstrom
4.7072 0.0000 0.0000
0.0000 4.7072 0.0000
0.0000 0.0000 4.6511
ATOMIC_POSITIONS crystal
Tc 0.0000 0.0000 0.0000
Te 0.0000 0.5000 0.5000
Te 0.5000 0.0000 0.5000
I 0.5000 0.5000 0.0000
N 0.5000 0.5000 0.5000
! Polymorph energy (0 for the lowest one) ... 1004 meV/atom
! Theoretical density ... 7962 kg/m³
! Energy ... -3.937 eV/atom
! Formation energy without anion corrections ... 1.37 eV per atom